The following is a PBE-GGA calculation of CdHgTe2 after structural relaxation, from Alexandria. Values from VASP.

Geometry as Quantum ESPRESSO input:
```
&SYSTEM
  ibrav = 0, nat = 4, ntyp = 3
/
ATOMIC_SPECIES
Hg 200.59 Hg.upf
Te 127.60 Te.upf
Cd 112.41 Cd.upf
CELL_PARAMETERS angstrom
6.503 0.000 0.000
0.000 3.052 -0.097
0.000 0.835 6.039
ATOMIC_POSITIONS angstrom
Hg 3.251 2.915 4.456
Te 0.000 1.210 3.004
Te 0.000 1.569 6.006
Cd 3.251 0.972 1.485
```

Magnetization (μB/f.u.): 0.0
Polymorph energy (0 for the lowest one) (eV per atom): 0.3614
Energy relative to the elements, uncorrected (meV/atom): 49
Total DFT energy (no corrections) (eV/cell): -7.3

The following is a PBE-GGA calculation of Sm6GaAg2 after structural relaxation, from Alexandria. Values from VASP.

Geometry as Quantum ESPRESSO input:
```
&SYSTEM
  ibrav = 0, nat = 18, ntyp = 3
/
ATOMIC_SPECIES
Sm 150.36 Sm.upf
Ga 69.72 Ga.upf
Ag 107.87 Ag.upf
CELL_PARAMETERS angstrom
-3.595 7.876 -1.289
-4.696 -5.956 -4.369
0.029 -1.879 8.549
ATOMIC_POSITIONS angstrom
Sm -6.745 2.469 -2.903
Sm -5.384 -4.738 1.269
Sm -1.871 -0.782 2.476
Sm -4.062 4.733 -1.671
Sm -4.200 -4.692 4.562
Sm -4.476 2.096 3.053
Sm -6.391 0.823 0.415
Sm -2.797 1.555 -0.209
Sm -5.465 -1.514 3.100
Sm -2.878 4.779 1.622
Sm -1.517 -2.428 5.794
Sm -3.786 -2.055 -0.162
Ga 0.000 0.000 0.000
Ga -2.334 -3.918 2.090
Ag -1.278 2.149 2.602
Ag -2.288 3.848 4.658
Ag -4.781 -0.106 -2.260
Ag -3.481 0.147 5.151
```

Magnetization (μB/f.u.): 0.0
Energy of formation (meV per atom): -206
Total DFT energy (no corrections) (eV/cell): -77.8